No. 1
A geometry-optimized Y6ErSe8 structure, computed with PBE.

Computed properties:
ρ   5.8 g/cm³
Density of states at the Fermi level   0.438 states/eV/atom
Calculated total energy   -98.842 eV for the cell shown
Raw formation energy   -1.8412 eV per atom

a = 8.1385 Å, b = 8.1385 Å, c = 8.1385 Å
α = 60.00°, β = 60.00°, γ = 60.00°
With the nearest neighbours (Å) after each atom.
Sites, in units of the cell vectors:
Y1 0.0000 0.5000 0.5000  6 Se 2.88
Y2 0.5000 0.0000 0.0000  6 Se 2.88
Y3 0.0000 0.5000 0.0000  6 Se 2.88
Se1 0.7489 0.2511 0.2511  4 Y 2.88, 1 Er 2.89
Se2 0.7489 0.2511 0.7489  4 Y 2.88, 1 Er 2.89
Er1 0.0000 0.0000 0.0000  6 Se 2.89
Se3 0.7500 0.7500 0.7500  6 Y 2.88
Se4 0.7489 0.7489 0.2511  4 Y 2.88, 1 Er 2.89
Se5 0.2500 0.2500 0.2500  6 Y 2.88
Se6 0.2511 0.2511 0.7489  4 Y 2.88, 1 Er 2.89
Y4 0.0000 0.0000 0.5000  6 Se 2.88
Y5 0.5000 0.0000 0.5000  6 Se 2.88
Se7 0.2511 0.7489 0.2511  4 Y 2.88, 1 Er 2.89
Y6 0.5000 0.5000 0.0000  6 Se 2.88
Se8 0.2511 0.7489 0.7489  4 Y 2.88, 1 Er 2.89

No. 2
A geometry-optimized YErSe3 structure, computed with PBE.

Computed properties:
ρ   5.3 g/cm³
Density of states at the Fermi level   0.000 states/eV/atom
Calculated total energy   -61.113 eV for the cell shown
Raw formation energy   -1.8152 eV per atom

a = 4.1232 Å, b = 7.1382 Å, c = 10.6023 Å
α = 90.00°, β = 101.21°, γ = 90.00°
With the nearest neighbours (Å) after each atom.
Sites, in units of the cell vectors:
Y1 0.6570 0.9921 0.3140  6 Se 2.75-3.07
Y2 0.3430 0.4921 0.6860  6 Se 2.75-3.07
Er1 0.1580 0.4923 0.3159  6 Se 2.73-3.06
Se1 0.9084 0.3218 0.8169  1 Er 2.73, 2 Y 2.75
Se2 0.4075 0.8292 0.8150  2 Er 2.73, 1 Y 2.76
Er2 0.8420 0.9923 0.6841  6 Se 2.73-3.06
Se3 0.5925 0.3292 0.1850  2 Er 2.73, 1 Y 2.76
Se4 0.7499 0.6588 0.4999  3 Er 3.05-3.06, 3 Y 3.07
Se5 0.2501 0.1588 0.5001  3 Er 3.05-3.06, 3 Y 3.07
Se6 0.0916 0.8218 0.1831  1 Er 2.73, 2 Y 2.75

No. 3
A geometry-optimized Y2Er3Se8 structure, computed with PBE.

Computed properties:
ρ   5.7 g/cm³
Density of states at the Fermi level   0.485 states/eV/atom
Calculated total energy   -76.770 eV for the cell shown
Raw formation energy   -1.7136 eV per atom

a = 6.9487 Å, b = 8.1540 Å, c = 8.2018 Å
α = 119.81°, β = 106.70°, γ = 90.00°
With the nearest neighbours (Å) after each atom.
Sites, in units of the cell vectors:
Se1 0.4129 0.3617 0.2444  2 Er 2.81-2.82, 2 Y 2.91
Se2 0.5871 0.6383 0.7556  2 Er 2.81-2.82, 2 Y 2.91
Y1 0.3366 0.2575 0.5151  6 Se 2.83-2.91
Se3 0.5871 0.1174 0.7556  2 Er 2.81-2.82, 2 Y 2.91
Se4 0.9213 0.1175 0.2350  3 Er 2.85-2.87, 1 Y 2.91
Er1 0.5000 0.0000 0.0000  6 Se 2.81-2.85
Se5 0.4129 0.8826 0.2444  2 Er 2.81-2.82, 2 Y 2.91
Er2 0.0000 0.7392 0.0000  6 Se 2.79-2.87
Se6 0.0888 0.3803 0.7606  2 Er 2.79, 1 Y 2.83
Y2 0.6634 0.7425 0.4849  6 Se 2.83-2.91
Er3 0.0000 0.2608 0.0000  6 Se 2.79-2.87
Se7 0.9112 0.6197 0.2394  2 Er 2.79, 1 Y 2.83
Se8 0.0787 0.8825 0.7650  3 Er 2.85-2.87, 1 Y 2.91

No. 4
A geometry-optimized Y3Er5Se8 structure, computed with PBE.

Computed properties:
ρ   7.6 g/cm³
Density of states at the Fermi level   0.671 states/eV/atom
Calculated total energy   -97.529 eV for the cell shown
Raw formation energy   -1.7154 eV per atom

a = 8.1075 Å, b = 8.1075 Å, c = 8.1188 Å
α = 60.05°, β = 60.05°, γ = 60.00°
With the nearest neighbours (Å) after each atom.
Sites, in units of the cell vectors:
Er1 0.0000 0.5000 0.0000  6 Se 2.85
Er2 0.5000 0.5000 0.0000  6 Se 2.85
Y1 0.5000 0.0000 0.5000  6 Se 2.89
Se1 0.2500 0.2500 0.7534  4 Er 2.85-2.87, 2 Y 2.89
Se2 0.7500 0.7500 0.2466  4 Er 2.85-2.87, 2 Y 2.89
Se3 0.7483 0.7483 0.7552  3 Er 2.85, 3 Y 2.89
Y2 0.0000 0.0000 0.5000  6 Se 2.89
Se4 0.2517 0.2517 0.2448  3 Er 2.85, 3 Y 2.89
Er3 0.5000 0.0000 0.0000  6 Se 2.85
Er4 0.5000 0.5000 0.5000  6 Se 2.87
Se5 0.2500 0.7466 0.7534  4 Er 2.85-2.87, 2 Y 2.89
Y3 0.0000 0.5000 0.5000  6 Se 2.89
Se6 0.2534 0.7500 0.2466  4 Er 2.85-2.87, 2 Y 2.89
Er5 0.0000 0.0000 0.0000  6 Se 2.87
Se7 0.7466 0.2500 0.7534  4 Er 2.85-2.87, 2 Y 2.89
Se8 0.7500 0.2534 0.2466  4 Er 2.85-2.87, 2 Y 2.89

No. 5
A geometry-optimized YEr3Se6 structure, computed with PBE.

Computed properties:
ρ   6.8 g/cm³
Calculated total energy   -119.294 eV for the cell shown
Raw formation energy   -1.8587 eV per atom

a = 4.0744 Å, b = 11.5068 Å, c = 11.7850 Å
α = 109.17°, β = 90.00°, γ = 90.00°
With the nearest neighbours (Å) after each atom.
Sites, in units of the cell vectors:
Se1 0.2500 0.1935 0.2503  3 Er 2.77-2.80, 1 Y 3.02
Se2 0.7500 0.8065 0.7497  3 Er 2.77-2.80, 1 Y 3.02
Se3 0.7500 0.9173 0.0978  3 Er 2.84-2.87, 2 Y 3.12
Se4 0.7500 0.3954 0.0620  4 Er 2.81-2.87
Er1 0.7500 0.1591 0.0834  6 Se 2.77-2.87
Er2 0.7500 0.4332 0.8327  6 Se 2.79-2.88
Se5 0.2500 0.6046 0.9380  4 Er 2.81-2.87
Se6 0.2500 0.2548 0.7234  3 Er 2.88-2.96, 2 Y 3.10
Er3 0.2500 0.5668 0.1673  6 Se 2.79-2.88
Se7 0.7500 0.1121 0.4654  3 Y 2.94-3.03, 2 Er 3.05
Y1 0.7500 0.0438 0.6928  8 Se 2.94-3.12
Er4 0.2500 0.3174 0.4987  7 Se 2.80-3.05
Er5 0.2500 0.8409 0.9166  6 Se 2.77-2.87
Er6 0.7500 0.6826 0.5013  7 Se 2.80-3.05
Se8 0.2500 0.8879 0.5346  3 Y 2.94-3.03, 2 Er 3.05
Se9 0.7500 0.7452 0.2766  3 Er 2.88-2.96, 2 Y 3.10
Se10 0.7500 0.4798 0.6151  4 Er 2.79-3.05
Se11 0.2500 0.5202 0.3849  4 Er 2.79-3.05
Y2 0.2500 0.9562 0.3072  8 Se 2.94-3.12
Se12 0.2500 0.0827 0.9022  3 Er 2.84-2.87, 2 Y 3.12

No. 6
A geometry-optimized YEr2Se structure, computed with PBE.

Computed properties:
ρ   7.3 g/cm³
Density of states at the Fermi level   1.052 states/eV/atom
Calculated total energy   -22.303 eV for the cell shown
Raw formation energy   -0.8071 eV per atom

a = 3.7650 Å, b = 3.7650 Å, c = 9.5990 Å
α = 78.69°, β = 78.69°, γ = 60.00°
With the nearest neighbours (Å) after each atom.
Sites, in units of the cell vectors:
Er1 0.0661 0.0661 0.8018  3 Se 2.86
Se1 0.6667 0.6667 0.0000  6 Er 2.85-2.86
Er2 0.2677 0.2677 0.1969  3 Se 2.85
Y1 0.4996 0.4996 0.5013  6 Er 3.55-3.58, 6 Y 3.77

No. 7
A geometry-optimized Y4Er3Se8 structure, computed with PBE.

Computed properties:
ρ   6.6 g/cm³
Density of states at the Fermi level   0.419 states/eV/atom
Calculated total energy   -94.764 eV for the cell shown
Raw formation energy   -1.8229 eV per atom

a = 8.0990 Å, b = 8.0975 Å, c = 8.0975 Å
α = 89.99°, β = 120.02°, γ = 120.02°
With the nearest neighbours (Å) after each atom.
Sites, in units of the cell vectors:
Se1 0.5000 0.2515 0.7485  3 Er 2.85-2.86, 3 Y 2.86-2.88
Y1 0.0000 0.0000 0.5000  6 Se 2.86
Er1 0.5000 0.0000 0.5000  6 Se 2.86
Er2 0.5000 0.5000 0.0000  6 Se 2.86
Se2 0.9970 0.7440 0.7440  1 Er 2.85, 4 Y 2.86-2.91
Y2 0.0000 0.5000 0.0000  6 Se 2.86
Y3 0.5000 0.0000 0.0000  6 Se 2.88
Y4 0.0000 0.0000 0.0000  6 Se 2.91
Se3 0.5000 0.7485 0.2515  3 Er 2.85-2.86, 3 Y 2.86-2.88
Se4 0.0000 0.7455 0.2545  2 Er 2.86, 3 Y 2.86-2.91
Se5 0.0030 0.2560 0.2560  1 Er 2.85, 4 Y 2.86-2.91
Er3 0.5000 0.5000 0.5000  6 Se 2.85
Se6 0.5092 0.2561 0.2561  3 Er 2.85-2.86, 2 Y 2.88-2.91
Se7 0.0000 0.2545 0.7455  2 Er 2.86, 3 Y 2.86-2.91
Se8 0.4908 0.7439 0.7439  3 Er 2.85-2.86, 2 Y 2.88-2.91

No. 8
A geometry-optimized Y4ErSe5 structure, computed with PBE.

Computed properties:
ρ   6.4 g/cm³
Density of states at the Fermi level   0.490 states/eV/atom
Calculated total energy   -65.340 eV for the cell shown
Raw formation energy   -1.7498 eV per atom

a = 5.7785 Å, b = 7.0577 Å, c = 7.0577 Å
α = 80.35°, β = 65.83°, γ = 65.83°
With the nearest neighbours (Å) after each atom.
Sites, in units of the cell vectors:
Y1 0.5985 0.5999 0.2050  6 Se 2.88-2.89
Er1 0.0013 0.0000 0.0000  6 Se 2.85-2.89
Se1 0.7050 0.1952 0.3967  1 Er 2.85, 5 Y 2.88-2.89
Y2 0.8035 0.7950 0.5999  6 Se 2.88-2.89
Se2 0.2969 0.8048 0.6033  1 Er 2.85, 5 Y 2.88-2.89
Se3 0.9003 0.3967 0.8048  1 Er 2.85, 5 Y 2.88-2.89
Se4 0.1017 0.6033 0.1952  1 Er 2.85, 5 Y 2.88-2.89
Y3 0.1984 0.2050 0.4001  6 Se 2.88-2.89
Se5 0.5013 0.0000 0.0000  2 Er 2.89, 4 Y 2.89
Y4 0.4034 0.4001 0.7950  6 Se 2.88-2.89

No. 9
A geometry-optimized YEr2Se4 structure, computed with PBE.

Computed properties:
ρ   6.8 g/cm³
Density of states at the Fermi level   0.339 states/eV/atom
Calculated total energy   -84.599 eV for the cell shown
Raw formation energy   -1.8245 eV per atom

a = 3.9495 Å, b = 6.9555 Å, c = 13.7263 Å
α = 90.00°, β = 90.00°, γ = 106.49°
With the nearest neighbours (Å) after each atom.
Sites, in units of the cell vectors:
Er1 0.8698 0.7395 0.9304  6 Se 2.80-2.90
Y1 0.6268 0.2537 0.7500  6 Se 2.89-2.95
Se1 0.7762 0.5524 0.1213  3 Er 2.86-2.90, 2 Y 2.95
Se2 0.0312 0.0624 0.2500  2 Er 2.81, 2 Y 2.89
Se3 0.5000 0.0000 0.5000  4 Er 2.80
Er2 0.1302 0.2605 0.0696  6 Se 2.80-2.90
Se4 0.5000 0.0000 0.0000  4 Er 2.80
Se5 0.9688 0.9376 0.7500  2 Er 2.81, 2 Y 2.89
Se6 0.7762 0.5524 0.3787  3 Er 2.86-2.90, 2 Y 2.95
Er3 0.8698 0.7395 0.5696  6 Se 2.80-2.90
Er4 0.1302 0.2605 0.4304  6 Se 2.80-2.90
Se7 0.2238 0.4476 0.6213  3 Er 2.86-2.90, 2 Y 2.95
Se8 0.2238 0.4476 0.8787  3 Er 2.86-2.90, 2 Y 2.95
Y2 0.3732 0.7463 0.2500  6 Se 2.89-2.95

No. 10
A geometry-optimized Y4ErSe7 structure, computed with PBE.

Computed properties:
ρ   5.7 g/cm³
Density of states at the Fermi level   0.150 states/eV/atom
Calculated total energy   -77.229 eV for the cell shown
Raw formation energy   -1.8681 eV per atom

a = 3.9687 Å, b = 6.9769 Å, c = 12.1917 Å
α = 103.85°, β = 90.00°, γ = 106.52°
With the nearest neighbours (Å) after each atom.
Sites, in units of the cell vectors:
Se1 0.6598 0.3196 0.0504  5 Y 2.87-3.08
Y1 0.9998 0.9997 0.9993  6 Se 2.81-2.87
Se2 0.0390 0.0780 0.7828  1 Er 2.80, 3 Y 2.82-2.88
Se3 0.9604 0.9208 0.2154  4 Y 2.81-2.88
Er1 0.8869 0.7739 0.5776  6 Se 2.78-2.93
Se4 0.4986 0.9972 0.5009  2 Er 2.78, 2 Y 2.81
Se5 0.3399 0.6798 0.9495  5 Y 2.87-3.09
Y2 0.1127 0.2254 0.4227  6 Se 2.81-2.95
Y3 0.3000 0.5999 0.1881  7 Se 2.88-3.09
Se6 0.7425 0.4849 0.3536  4 Y 2.90-3.06, 1 Er 2.93
Se7 0.2604 0.5208 0.6475  2 Er 2.87, 3 Y 2.95-3.07
Y4 0.7000 0.4000 0.8123  7 Se 2.88-3.08

No. 11
A geometry-optimized YbEr2Se4 structure, computed with PBE.

Computed properties:
ρ   7.4 g/cm³
Density of states at the Fermi level   2.318 states/eV/atom
Calculated total energy   -151.736 eV for the cell shown
Raw formation energy   -1.9063 eV per atom

a = 4.0217 Å, b = 13.4295 Å, c = 13.6672 Å
α = 90.00°, β = 90.00°, γ = 90.00°
With the nearest neighbours (Å) after each atom.
Sites, in units of the cell vectors:
Er1 0.7500 0.3517 0.3004  6 Se 2.82-2.90
Se1 0.7500 0.4654 0.1202  4 Er 2.82-2.90
Se2 0.2500 0.4706 0.3853  2 Er 2.82, 3 Yb 2.97-3.04
Se3 0.7500 0.5294 0.6147  2 Er 2.82, 3 Yb 2.97-3.04
Yb1 0.7500 0.6308 0.4155  7 Se 2.97-3.12
Er2 0.7500 0.3928 0.9201  6 Se 2.82-2.90
Yb2 0.2500 0.8692 0.9155  7 Se 2.97-3.12
Se4 0.7500 0.9654 0.3798  4 Er 2.82-2.90
Se5 0.7500 0.2853 0.7379  3 Er 2.86-2.88, 2 Yb 3.12
Se6 0.7500 0.0294 0.8853  2 Er 2.82, 3 Yb 2.97-3.04
Yb3 0.7500 0.1308 0.0845  7 Se 2.97-3.12
Er3 0.7500 0.8928 0.5799  6 Se 2.82-2.90
Se7 0.7500 0.7436 0.0213  3 Er 2.84, 2 Yb 3.00
Se8 0.2500 0.0346 0.6202  4 Er 2.82-2.90
Se9 0.2500 0.7564 0.5213  3 Er 2.84, 2 Yb 3.00
Er4 0.2500 0.1483 0.8004  6 Se 2.82-2.90
Se10 0.7500 0.2436 0.4787  3 Er 2.84, 2 Yb 3.00
Se11 0.2500 0.5346 0.8798  4 Er 2.82-2.90
Se12 0.2500 0.2564 0.9787  3 Er 2.84, 2 Yb 3.00
Er5 0.2500 0.6483 0.6996  6 Se 2.82-2.90
Se13 0.7500 0.7853 0.7621  3 Er 2.86-2.88, 2 Yb 3.12
Er6 0.2500 0.1072 0.4201  6 Se 2.82-2.90
Er7 0.2500 0.6072 0.0799  6 Se 2.82-2.90
Se14 0.2500 0.2147 0.2379  3 Er 2.86-2.88, 2 Yb 3.12
Yb4 0.2500 0.3692 0.5845  7 Se 2.97-3.12
Se15 0.2500 0.9706 0.1147  2 Er 2.82, 3 Yb 2.97-3.04
Er8 0.7500 0.8517 0.1996  6 Se 2.82-2.90
Se16 0.2500 0.7147 0.2621  3 Er 2.86-2.88, 2 Yb 3.12

No. 12
A geometry-optimized YbErSe2 structure, computed with PBE.

Computed properties:
ρ   8.6 g/cm³
Density of states at the Fermi level   0.419 states/eV/atom
Calculated total energy   -20.488 eV for the cell shown
Raw formation energy   -1.8575 eV per atom

a = 7.0967 Å, b = 7.0967 Å, c = 7.0967 Å
α = 33.34°, β = 33.34°, γ = 33.34°
With the nearest neighbours (Å) after each atom.
Sites, in units of the cell vectors:
Se1 0.7484 0.7484 0.7484  3 Er 2.87, 3 Yb 2.90
Er1 0.0000 0.0000 0.0000  6 Se 2.87
Se2 0.2516 0.2516 0.2516  3 Er 2.87, 3 Yb 2.90
Yb1 0.5000 0.5000 0.5000  6 Se 2.90

Question: Which formula does entry 4 have?
Answer: Y3Er5Se8